Sm4CdGa3: relaxed, GGA-PBE.

Values from the calculation:
Uncorrected energy: -65.81 eV/cell
DOS at the Fermi energy: 12.38 states/eV per cell

Cell lengths 5.2198, 7.4040, 10.4392 Å; angles 90.00, 90.00, 90.00 degrees
Closest atoms and distances in Å follow each position.
Atoms (fractional coordinates):
Ga 0.0000 0.0000 0.0000  8 Sm 3.17
Ga 0.0000 0.0000 0.5000  8 Sm 3.17
Ga 0.4990 0.0000 0.7500  8 Sm 3.17
Ga 0.5010 0.0000 0.2500  8 Sm 3.17
Ga 0.4990 0.5000 0.7500  8 Sm 3.23
Ga 0.5010 0.5000 0.2500  8 Sm 3.23
Sm 0.5000 0.7563 0.0000  6 Ga 3.17-3.23, 2 Cd 3.23
Sm 0.5000 0.7563 0.5000  6 Ga 3.17-3.23, 2 Cd 3.23
Sm 0.5000 0.2437 0.0000  6 Ga 3.17-3.23, 2 Cd 3.23
Sm 0.5000 0.2437 0.5000  6 Ga 3.17-3.23, 2 Cd 3.23
Sm 0.9992 0.7563 0.7500  6 Ga 3.17-3.23, 2 Cd 3.23
Sm 0.0008 0.7563 0.2500  6 Ga 3.17-3.23, 2 Cd 3.23
Sm 0.0008 0.2437 0.2500  6 Ga 3.17-3.23, 2 Cd 3.23
Sm 0.9992 0.2437 0.7500  6 Ga 3.17-3.23, 2 Cd 3.23
Cd 0.0000 0.5000 0.0000  8 Sm 3.23
Cd 0.0000 0.5000 0.5000  8 Sm 3.23